[1]
The following is a DFT calculation (PBE) of BaSrCu after structural relaxation.

Lattice parameters (Å, degrees): 4.5800 4.5800 7.3731 90.00 90.00 120.00
With the nearest neighbours (Å) after each atom.
Space group P3m1 (No. 156)
Asymmetric unit:
Ba  0.0000  0.0000  0.0000  3 Cu 3.21
Sr  0.6667  0.3333  0.4723  3 Cu 3.12
Cu  0.3333  0.6667  0.2479  3 Sr 3.12, 3 Ba 3.21

Its excess energy over the best structure of this formula in the dataset is 0.0516 eV/atom. The formation energy from the elements is 0.114 eV per formula unit.

---

[2]
The following is a DFT calculation (PBE) of Ti4Al2V after structural relaxation.

Lattice parameters (Å, degrees): 5.0525 10.4982 4.7969 90.00 90.00 90.00
With the nearest neighbours (Å) after each atom.
Space group Cmmm (No. 65)
Asymmetric unit:
Ti  0.0000  0.1405  0.0000  3 Al 2.54-2.59, 2 V 2.82
Ti  0.0000  0.2910  0.5000  2 Al 2.60, 4 Ti 2.67-2.87
Al  0.0000  0.3870  0.0000  1 Al 2.37, 5 Ti 2.54-2.60
V  0.0000  0.0000  0.5000  6 Ti 2.82-3.05

The formation energy from the elements is 2.846 eV per formula unit.

---

[3]
The following is a DFT calculation (PBE) of Zn2CuSe after structural relaxation.

Lattice parameters (Å, degrees): 2.7202 3.8544 6.2559 90.00 90.00 90.00
With the nearest neighbours (Å) after each atom.
Space group Pmm2 (No. 25)
Asymmetric unit:
Zn  0.0000  0.0000  0.0000  1 Cu 2.63, 6 Zn 2.72
Zn  0.5000  0.5000  0.2168  4 Cu 2.68, 6 Zn 2.72, 1 Se 2.83
Cu  0.0000  0.0000  0.4199  5 Zn 2.63-2.68, 2 Cu 2.72, 4 Se 2.83
Se  0.5000  0.5000  0.6687  2 Se 2.72, 4 Cu 2.83, 1 Zn 2.83

Its formation energy from raw total energies is 101 meV/atom.

---

[4]
The following is a DFT calculation (PBE) of MgTaSe2Br after structural relaxation.

Lattice parameters (Å, degrees): 5.0117 5.0117 4.8180 90.00 90.00 90.00
With the nearest neighbours (Å) after each atom.
Space group P4/mmm (No. 123)
Asymmetric unit:
Mg  0.0000  0.0000  0.0000  2 Br 2.41, 4 Se 2.51
Ta  0.5000  0.5000  0.5000  8 Se 3.48, 4 Br 3.54
Se  0.0000  0.5000  0.0000  2 Mg 2.51
Br  0.0000  0.0000  0.5000  2 Mg 2.41

Its excess energy over the best structure of this formula in the dataset is 0.7117 eV/atom. Its formation energy from raw total energies is 476 meV/atom.

---

[5]
The following is a DFT calculation (PBE) of Li3Ge4Rh after structural relaxation.

Lattice parameters (Å, degrees): 4.0806 5.9043 11.0463 90.00 90.00 90.00
With the nearest neighbours (Å) after each atom.
Space group Immm (No. 71)
Asymmetric unit:
Li  0.0000  0.0000  0.0000  8 Ge 3.05, 4 Li 3.27
Li  0.0000  0.5000  0.1275  2 Rh 2.48, 6 Ge 2.58-2.68
Ge  0.0000  0.2826  0.3301  1 Rh 2.51, 3 Ge 2.57-2.73, 3 Li 2.58-2.68
Rh  0.0000  0.0000  0.5000  4 Li 2.48, 4 Ge 2.51

The formation energy from the elements is -2.416 eV per formula unit.

---

[6]
The following is a DFT calculation (PBE) of Ce2Co2CuNi5 after structural relaxation.

Lattice parameters (Å, degrees): 8.5261 8.5261 3.8708 90.00 90.00 90.00
With the nearest neighbours (Å) after each atom.
Space group P4/mbm (No. 127)
Asymmetric unit:
Ce  0.1818  0.3182  0.0000  1 Co 2.32
Co  0.1259  0.6259  0.0000  1 Ce 2.32, 6 Ni 2.46-2.50
Cu  0.0000  0.0000  0.0000  8 Ni 2.64
Ni  0.0000  0.5000  0.5000  4 Co 2.46, 4 Ni 2.59
Ni  0.0588  0.7981  0.5000  2 Co 2.50, 3 Ni 2.54-2.59, 2 Cu 2.64

The formation energy from the elements is -2.204 eV per formula unit.